Material: AlGa4Pd
Method: DFT, PBE-GGA
State: optimized geometry

Summary:
- total magnetic moment (μB per cell) = 0.00
- space-group type = P222
- offset from the most stable computed form (kJ/mol of formula units) = 88.6

Unit cell a=5.415 b=5.394 c=7.832 alpha=90.00 beta=90.00 gamma=90.00
Fractional coordinates of all 12 atoms:
Ga 0.746 0.743 0.749
Ga 0.254 0.743 0.251
Ga 0.255 0.746 0.751
Ga 0.745 0.746 0.249
Ga 0.254 0.257 0.749
Ga 0.255 0.254 0.249
Ga 0.746 0.257 0.251
Ga 0.745 0.254 0.751
Pd 0.000 0.000 0.500
Pd 0.000 0.500 0.000
Al 0.000 0.000 0.000
Al 0.500 0.000 0.500

Material: Al2Ga2Pd7
Method: DFT, PBE-GGA
State: optimized geometry

Summary:
- total magnetic moment (μB per cell) = 0.00
- space-group type = C2/m

Unit cell a=5.759 b=5.745 c=5.759 alpha=89.93 beta=98.81 gamma=90.07
Fractional coordinates of all 11 atoms:
Pd 0.501 0.737 0.000
Pd 0.000 0.000 0.000
Pd 0.000 0.263 0.501
Pd 0.500 0.735 0.500
Pd 0.000 0.737 0.499
Pd 0.500 0.265 0.500
Pd 0.499 0.263 0.000
Al 0.282 0.999 0.718
Al 0.718 0.001 0.282
Ga 0.801 0.500 0.801
Ga 0.199 0.500 0.199

no.,calculated formation energy (eV/atom)
1,-0.13
2,-0.46